# YPaZnAu

A geometry-optimized YPaZnAu structure (PBE, Alexandria via LeMat-Bulk).

- space group = F-43m
- formation energy (meV per atom) = -204
- electronic total energy (eV per cell) = -21.3

a = 5.0888 Å, b = 5.0888 Å, c = 5.0888 Å
α = 60.00°, β = 60.00°, γ = 60.00°
Each line ends with the local moment (μB).
Fractional coordinates of all 4 atoms:
Y  0.7500  0.7500  0.7500  0.23
Zn  0.0000  0.0000  0.0000  0.01
Pa  0.2500  0.2500  0.2500  0.92
Au  0.5000  0.5000  0.5000  0.04

# TlVI2

A geometry-optimized TlVI2 structure (PBE, Alexandria via LeMat-Bulk).

- energy above the most stable polymorph in this dataset (meV/atom) = 0
- space group = R-3m
- raw formation energy (eV per atom) = -0.184
- electronic total energy (eV per cell) = -15.3

a = 4.0076 Å, b = 4.0076 Å, c = 10.2396 Å
α = 78.71°, β = 78.71°, γ = 60.00°
Each line ends with the local moment (μB).
Fractional coordinates of all 4 atoms:
I  0.2789  0.2789  0.1634  -0.04
I  0.7211  0.7211  0.8366  -0.04
Tl  0.5000  0.5000  0.5000  0.01
V  0.0000  0.0000  0.0000  2.70

# LiSc4Si4O14

A geometry-optimized LiSc4Si4O14 structure (PBE, Alexandria via LeMat-Bulk).

- energy above the most stable polymorph in this dataset (meV/atom) = 0
- space group = R3m
- raw formation energy (eV per atom) = -2.874
- electronic total energy (eV per cell) = -184.4

a = 6.7724 Å, b = 6.7724 Å, c = 6.7724 Å
α = 58.61°, β = 58.61°, γ = 58.61°
Each line ends with the local moment (μB).
Fractional coordinates of all 23 atoms:
Li  0.7563  0.7563  0.7563  0.01
Sc  0.4884  0.0253  0.0253  0.21
Sc  0.0253  0.0253  0.4884  0.21
Sc  0.0253  0.4884  0.0253  0.21
Sc  0.9984  0.9984  0.9984  0.09
Si  0.0019  0.4987  0.4987  0.00
Si  0.4987  0.4987  0.0019  0.00
Si  0.4987  0.0019  0.4987  0.00
Si  0.4955  0.4955  0.4955  0.01
O  0.1782  0.1782  0.5742  0.00
O  0.4238  0.4238  0.8259  0.00
O  0.5742  0.1782  0.1782  0.00
O  0.1782  0.5742  0.1782  0.00
O  0.5736  0.1718  0.5736  0.00
O  0.1718  0.5736  0.5736  0.00
O  0.4249  0.8170  0.8170  0.00
O  0.8259  0.4238  0.4238  0.00
O  0.8722  0.8722  0.8722  0.00
O  0.1172  0.1172  0.1172  0.01
O  0.5736  0.5736  0.1718  0.00
O  0.4238  0.8259  0.4238  0.00
O  0.8170  0.4249  0.8170  0.00
O  0.8170  0.8170  0.4249  0.00

# MgPaAlIn

A geometry-optimized MgPaAlIn structure (PBE, Alexandria via LeMat-Bulk).

- space group = F-43m
- formation energy (meV per atom) = 51
- electronic total energy (eV per cell) = -17.4

a = 5.0611 Å, b = 5.0611 Å, c = 5.0611 Å
α = 60.00°, β = 60.00°, γ = 60.00°
Each line ends with the local moment (μB).
Fractional coordinates of all 4 atoms:
Mg  0.0000  0.0000  0.0000  0.00
Pa  0.5000  0.5000  0.5000  0.16
Al  0.2500  0.2500  0.2500  0.00
In  0.7500  0.7500  0.7500  0.00

# Pm4PtAu

A geometry-optimized Pm4PtAu structure (PBE, Alexandria via LeMat-Bulk).

- energy above the most stable polymorph in this dataset (meV/atom) = 0
- space group = Pnma
- formation energy (meV per atom) = -655
- electronic total energy (eV per cell) = -129.0

a = 4.9991 Å, b = 7.2176 Å, c = 18.6823 Å
α = 90.00°, β = 90.00°, γ = 90.00°
Fractional coordinates of all 24 atoms:
Pm  0.7500  0.8828  0.6489
Pm  0.2500  0.1172  0.3511
Pm  0.2500  0.6172  0.1489
Pm  0.7500  0.3828  0.8511
Pm  0.7500  0.8819  0.4453
Pm  0.2500  0.1181  0.5547
Pm  0.2500  0.6181  0.9453
Pm  0.7500  0.3819  0.0547
Pm  0.7500  0.9390  0.9285
Pm  0.2500  0.0610  0.0715
Pm  0.2500  0.5610  0.4285
Pm  0.7500  0.4390  0.5715
Pm  0.7500  0.9845  0.2227
Pm  0.2500  0.0155  0.7773
Pm  0.2500  0.5155  0.7227
Pm  0.7500  0.4845  0.2773
Pt  0.7500  0.7491  0.7929
Pt  0.2500  0.2509  0.2071
Pt  0.2500  0.7509  0.2929
Pt  0.7500  0.2491  0.7071
Au  0.7500  0.2973  0.4229
Au  0.2500  0.7027  0.5771
Au  0.2500  0.2027  0.9229
Au  0.7500  0.7973  0.0771

# Ca3Tl5

A geometry-optimized Ca3Tl5 structure (PBE, Alexandria via LeMat-Bulk).

- energy above the most stable polymorph in this dataset (meV/atom) = 126
- space group = P6_3/mcm
- formation energy (meV per atom) = -212
- electronic total energy (eV per cell) = -39.1

a = 9.4471 Å, b = 9.4471 Å, c = 6.3959 Å
α = 90.00°, β = 90.00°, γ = 120.00°
Fractional coordinates of all 16 atoms:
Tl  0.3333  0.6667  0.0000
Tl  0.6667  0.3333  0.5000
Tl  0.6667  0.3333  0.0000
Tl  0.3333  0.6667  0.5000
Tl  0.2216  0.0000  0.2500
Tl  0.7784  0.0000  0.7500
Tl  0.0000  0.2216  0.2500
Tl  0.7784  0.7784  0.2500
Tl  0.2216  0.2216  0.7500
Tl  0.0000  0.7784  0.7500
Ca  0.6053  0.0000  0.2500
Ca  0.3947  0.0000  0.7500
Ca  0.0000  0.6053  0.2500
Ca  0.3947  0.3947  0.2500
Ca  0.6053  0.6053  0.7500
Ca  0.0000  0.3947  0.7500

# CeLuInOs

A geometry-optimized CeLuInOs structure (PBE, Alexandria via LeMat-Bulk).

- space group = F-43m
- formation energy (meV per atom) = -174
- electronic total energy (eV per cell) = -25.1

a = 5.0535 Å, b = 5.0535 Å, c = 5.0535 Å
α = 60.00°, β = 60.00°, γ = 60.00°
Each line ends with the local moment (μB).
Fractional coordinates of all 4 atoms:
Lu  0.7500  0.7500  0.7500  0.01
Os  0.5000  0.5000  0.5000  -0.01
Ce  0.2500  0.2500  0.2500  0.27
In  0.0000  0.0000  0.0000  0.01

# Sm2Ge6Pd21

A geometry-optimized Sm2Ge6Pd21 structure (PBE, Alexandria via LeMat-Bulk).

- space group = Fm-3m
- formation energy (meV per atom) = -559
- electronic total energy (eV per cell) = -162.4

a = 8.8202 Å, b = 8.8202 Å, c = 8.8202 Å
α = 60.00°, β = 60.00°, γ = 60.00°
Fractional coordinates of all 29 atoms:
Sm  0.7500  0.7500  0.7500
Sm  0.2500  0.2500  0.2500
Ge  0.2657  0.7343  0.2657
Ge  0.7343  0.2657  0.2657
Ge  0.7343  0.7343  0.2657
Ge  0.7343  0.2657  0.7343
Ge  0.2657  0.7343  0.7343
Ge  0.2657  0.2657  0.7343
Pd  0.0000  0.0000  0.0000
Pd  0.6173  0.6173  0.1480
Pd  0.6173  0.6173  0.6173
Pd  0.6173  0.1480  0.6173
Pd  0.1480  0.6173  0.6173
Pd  0.3827  0.3827  0.8520
Pd  0.3827  0.3827  0.3827
Pd  0.3827  0.8520  0.3827
Pd  0.8520  0.3827  0.3827
Pd  0.6535  0.0000  0.3465
Pd  0.0000  0.6535  0.3465
Pd  0.0000  0.0000  0.3465
Pd  0.0000  0.6535  0.0000
Pd  0.6535  0.0000  0.0000
Pd  0.0000  0.0000  0.6535
Pd  0.0000  0.3465  0.0000
Pd  0.0000  0.3465  0.6535
Pd  0.6535  0.3465  0.0000
Pd  0.3465  0.0000  0.6535
Pd  0.3465  0.0000  0.0000
Pd  0.3465  0.6535  0.0000

# LiZn7Pd4

A geometry-optimized LiZn7Pd4 structure (PBE, Alexandria via LeMat-Bulk).

- space group = C2/m
- formation energy (meV per atom) = -282
- electronic total energy (eV per cell) = -35.0

a = 4.4503 Å, b = 7.5061 Å, c = 6.5055 Å
α = 83.02°, β = 70.00°, γ = 72.76°
Fractional coordinates of all 12 atoms:
Li  0.0000  0.0000  0.0000
Zn  0.7857  0.8304  0.5982
Zn  0.2143  0.1696  0.4018
Zn  0.0581  0.6665  0.2173
Zn  0.9419  0.3335  0.7827
Zn  0.3478  0.5921  0.7123
Zn  0.5000  0.0000  0.0000
Zn  0.6522  0.4079  0.2877
Pd  0.5936  0.1873  0.6256
Pd  0.4064  0.8127  0.3744
Pd  0.6934  0.6490  0.9642
Pd  0.3066  0.3510  0.0358

# Ca3MgB

A geometry-optimized Ca3MgB structure (PBE, Alexandria via LeMat-Bulk).

- energy above the most stable polymorph in this dataset (meV/atom) = 0
- space group = Pm-3m
- formation energy (meV per atom) = 240
- electronic total energy (eV per cell) = -13.1

a = 5.3679 Å, b = 5.3679 Å, c = 5.3679 Å
α = 90.00°, β = 90.00°, γ = 90.00°
Fractional coordinates of all 5 atoms:
Ca  0.0000  0.5000  0.0000
Ca  0.0000  0.0000  0.5000
Ca  0.5000  0.0000  0.0000
B  0.0000  0.0000  0.0000
Mg  0.5000  0.5000  0.5000

# Sr2TmAu

A geometry-optimized Sr2TmAu structure (PBE, Alexandria via LeMat-Bulk).

- space group = R-3m
- formation energy (meV per atom) = 31
- electronic total energy (eV per cell) = -11.0

a = 3.9495 Å, b = 3.9495 Å, c = 11.6830 Å
α = 80.27°, β = 80.27°, γ = 60.00°
Each line ends with the local moment (μB).
Fractional coordinates of all 4 atoms:
Sr  0.1057  0.1057  0.6829  0.01
Sr  0.8943  0.8943  0.3171  0.01
Tm  0.0000  0.0000  0.0000  0.30
Au  0.5000  0.5000  0.5000  0.01

# Li3PuCr2Se6

A geometry-optimized Li3PuCr2Se6 structure (PBE, Alexandria via LeMat-Bulk).

- space group = C2/m
- raw formation energy (eV per atom) = -0.980
- electronic total energy (eV per cell) = -72.0

a = 6.5983 Å, b = 6.5983 Å, c = 6.7901 Å
α = 99.40°, β = 99.40°, γ = 120.01°
Each line ends with the local moment (μB).
Fractional coordinates of all 12 atoms:
Li  0.1611  0.8389  0.5000  0.01
Li  0.8389  0.1611  0.5000  0.01
Li  0.5000  0.5000  0.5000  0.01
Pu  0.0000  0.0000  0.0000  -4.95
Cr  0.3330  0.6670  0.0000  2.86
Cr  0.6670  0.3330  0.0000  2.86
Se  0.9218  0.5541  0.7652  -0.02
Se  0.7130  0.7130  0.2371  -0.02
Se  0.0782  0.4459  0.2348  -0.02
Se  0.5541  0.9218  0.7652  -0.02
Se  0.2870  0.2870  0.7629  -0.02
Se  0.4459  0.0782  0.2348  -0.02

Quick rundown of DOS(E_F), same order as above: 7.84, 2.04, 0.86, 3.24, 5.61, 5.37, 5.02, 19.50, 3.42, 7.66, 4.38, 13.07 states/eV/f.u.